Here is TlCdPt2 after structural relaxation from the Alexandria database. Energies are from PBE-GGA.

The structure in POSCAR format:
```
TlCdPt2
1.0
-2.2422 -2.1645 -2.7514
3.2564 -0.0902 -2.5827
3.4438 -9.2360 1.3186
Tl Pt Cd
2 4 2
direct
0.0000 0.0000 0.0000 Tl
0.7500 0.2500 0.5000 Tl
0.6114 0.1250 0.2500 Pt
0.1386 0.6250 0.2500 Pt
0.3750 0.3886 0.7500 Pt
0.8750 0.8614 0.7500 Pt
0.5000 0.5000 0.0000 Cd
0.2500 0.7500 0.5000 Cd
```

## Properties
V, Å³ per cell: 164.2
Calculated total energy, eV per atom: -3.706
Space group: I-42d (122)
E_form, eV per formula unit: 0.54


Here is PuGaMo after structural relaxation from the Alexandria database. Energies are from PBE-GGA.

The structure in POSCAR format:
```
PuGaMo
1.0
2.4615 0.0000 0.0000
0.0000 4.9161 0.0000
0.0000 -2.4581 4.2575
Mo Ga Pu
1 1 1
direct
0.8331 0.0000 0.0000 Mo
0.8337 0.3333 0.6667 Ga
0.3332 0.6667 0.3333 Pu
```

## Properties
V, Å³ per cell: 51.5
Relative energy among the computed polymorphs, meV/atom: 234.8
Calculated total energy, eV per atom: -9.144
Space group: P-6m2 (187)
E_form, eV per formula unit: 0.76


> Which value of E_form does entry 1 give?

0.54 eV per formula unit